# 1
A plane-wave DFT calculation with meta-GGA SCAN was carried out for a PBEsol-optimized structure of SiMo2.

As for the formation energy (no corrections): 1.2 eV per formula unit. Its density of states at the Fermi level is 10.78 states/eV per cell. The calculation puts the energy above the most stable polymorph in this dataset at 678 meV per atom.

The structure belongs to space group Fm-3m (No. 225); the cell edges are 5.786, 5.786 and 5.786 Å and the angles 90.00°, 90.00° and 90.00°. The asymmetric unit holds Si at (0.000, 0.000, 0.000) and Mo at (0.250, 0.250, 0.250).


# 2
A plane-wave DFT calculation with meta-GGA SCAN was carried out for a PBEsol-optimized structure of LiPtS2.

As for the formation energy (no corrections): -1.1 eV per formula unit. Its density of states at the Fermi level is 5.76 states/eV per cell.

The structure belongs to space group R-3m (No. 166, hexagonal axes); the cell edges are 2.9380, 2.9380 and 23.6591 Å and the angles 90.00°, 90.00° and 120.00°. The asymmetric unit holds Li at (0.0000, 0.0000, 0.0000), Pt at (0.0000, 0.0000, 0.5000) and S at (0.0000, 0.0000, 0.4055).


# 3
A plane-wave DFT calculation with meta-GGA SCAN was carried out for a PBEsol-optimized structure of In2BiH.

Its density of states at the Fermi level is 6.27 states/eV per cell. The calculation puts the energy above the most stable polymorph in this dataset at 0 meV per atom.

The structure belongs to space group I-42d (No. 122); the cell edges are 5.521, 5.521 and 12.777 Å and the angles 90.00°, 90.00° and 90.00°. The asymmetric unit holds In at (0.110, 0.250, 0.125), Bi at (0.000, 0.000, 0.500) and H at (0.000, 0.000, 0.000).


# 4
A plane-wave DFT calculation with meta-GGA SCAN was carried out for a PBEsol-optimized structure of La2Hg.

The value obtained for the formation energy is -0.42 eV/atom. Its density of states at the Fermi level is 11.72 states/eV per cell.

The structure belongs to space group Cm (No. 8); the cell edges are 12.069, 3.656 and 8.407 Å and the angles 90.00°, 93.32° and 90.00°. The asymmetric unit holds La at (0.000, 0.000, 0.000), La at (0.085, 0.000, 0.580), La at (0.240, 0.500, 0.913), La at (0.339, 0.000, 0.300), Hg at (0.121, 0.500, 0.272) and Hg at (0.380, 0.000, 0.684).